Entry 1:
Entry from the Alexandria database: crystalline BaZr2Sc at its relaxed geometry (PBE).

Cell lengths 7.6720, 7.6720, 7.6720 Å; angles 90.00, 90.00, 90.00 degrees
Last column: nearest neighbours and their distance in Å.
Space group Fm-3m (No. 225)
Symmetry-distinct sites (fractional):
Ba  0.0000  0.0000  0.0000 [4 per cell]  8 Zr 3.32
Zr  0.2500  0.2500  0.2500 [8 per cell]  4 Ba 3.32, 4 Sc 3.32
Sc  0.0000  0.0000  0.5000 [4 per cell]  8 Zr 3.32

Computed properties:
Offset from the most stable computed form: 416 meV per atom
Formation energy from the elements: 698 meV/atom

=====

Entry 2:
Entry from the Alexandria database: crystalline Li2SnTeS4 at its relaxed geometry (PBE).

Cell lengths 3.9044, 6.7178, 6.8309 Å; angles 99.53, 105.42, 90.99 degrees
Last column: nearest neighbours and their distance in Å.
Space group P1 (No. 1)
Symmetry-distinct sites (fractional):
Li  0.0000  0.0000  0.0000 [1 per cell]  6 S 2.63-2.84
Li  0.1905  0.7648  0.4434 [1 per cell]  5 S 2.60-2.76
Sn  0.7677  0.2378  0.5077 [1 per cell]  4 S 2.64-2.93
Te  0.4705  0.5175  0.9906 [1 per cell]  3 S 2.48-2.59
S  0.1180  0.3827  0.2120 [1 per cell]  2 Te 2.55-2.83, 2 Li 2.70-2.75
S  0.3732  0.1016  0.7223 [1 per cell]  2 Sn 2.64-2.69, 3 Li 2.66-2.84
S  0.5972  0.8594  0.2070 [1 per cell]  1 Te 2.48, 4 Li 2.60-2.68
S  0.9180  0.6210  0.7309 [1 per cell]  1 Te 2.59, 1 Sn 2.73, 2 Li 2.76-2.84

Computed properties:
Energy relative to the elements, uncorrected: -0.60 eV per atom

=====

Entry 3:
Entry from the Alexandria database: crystalline Ac3DyTl at its relaxed geometry (PBE).

Cell lengths 5.2878, 26.7452, 5.2791 Å; angles 90.00, 90.00, 90.00 degrees
Last column: nearest neighbours and their distance in Å.
Space group Cmcm (No. 63)
Symmetry-distinct sites (fractional):
Ac  0.0000  0.0551  0.2500 [4 per cell]  2 Dy 3.71, 2 Tl 3.73, 8 Ac 3.74-4.02
Ac  0.0000  0.2504  0.2500 [4 per cell]  4 Tl 3.68-3.70, 4 Dy 3.70-3.72, 4 Ac 3.74
Ac  0.0000  0.4417  0.2500 [4 per cell]  2 Dy 3.65, 2 Tl 3.67, 6 Ac 3.74-4.02
Dy  0.0000  0.3476  0.7500 [4 per cell]  8 Ac 3.65-3.72, 4 Tl 3.74
Tl  0.0000  0.1537  0.7500 [4 per cell]  8 Ac 3.67-3.73, 4 Dy 3.74

Computed properties:
Formation energy from the elements: -54 meV/atom

=====

Entry 4:
Entry from the Alexandria database: crystalline AcLa5Sb4 at its relaxed geometry (PBE).

Cell lengths 9.7579, 11.4574, 7.5452 Å; angles 90.00, 90.00, 90.00 degrees
Last column: nearest neighbours and their distance in Å.
Space group Pmmn (No. 59, origin choice 2)
Symmetry-distinct sites (fractional):
Ac  0.2500  0.2500  0.1682 [2 per cell]  4 Sb 3.21-3.25
La  0.0031  0.0451  0.7330 [8 per cell]  3 Sb 3.18-3.21
La  0.2500  0.7500  0.8186 [2 per cell]  4 Sb 3.10-3.15
Sb  0.0026  0.7500  0.5506 [4 per cell]  3 La 3.15-3.18, 1 Ac 3.25
Sb  0.2500  0.5079  0.0026 [4 per cell]  5 La 3.10-3.21, 1 Ac 3.21

Computed properties:
Energy relative to the elements, uncorrected: -0.69 eV per atom

=====

Entry 5:
Entry from the Alexandria database: crystalline TbGdAu at its relaxed geometry (PBE).

Cell lengths 4.9268, 4.9268, 3.8253 Å; angles 90.00, 90.00, 120.00 degrees
Last column: nearest neighbours and their distance in Å.
Space group P3m1 (No. 156)
Symmetry-distinct sites (fractional):
Tb  0.0000  0.0000  0.0000 [1 per cell]  3 Au 3.00, 3 Gd 3.35
Gd  0.3333  0.6667  0.5399 [1 per cell]  3 Au 3.06, 3 Tb 3.35
Au  0.6667  0.3333  0.2476 [1 per cell]  3 Tb 3.00, 3 Gd 3.06

Computed properties:
Offset from the most stable computed form: 141 meV per atom
Formation energy from the elements: -403 meV/atom

=====

Entry 6:
Entry from the Alexandria database: crystalline La4RhS2I at its relaxed geometry (PBE).

Cell lengths 7.4770, 4.1634, 7.6089 Å; angles 90.00, 108.81, 90.00 degrees
Last column: nearest neighbours and their distance in Å.
Space group P2/m (No. 10)
Symmetry-distinct sites (fractional):
La  0.2162  0.0000  0.2250 [2 per cell]  3 S 2.84-3.03, 1 Rh 3.13
La  0.2526  0.5000  0.7751 [2 per cell]  3 S 2.93-3.12, 2 Rh 2.94, 1 I 3.21
Rh  0.5000  0.0000  0.0000 [1 per cell]  6 La 2.94-3.13
S  0.0000  0.0000  0.5000 [1 per cell]  6 La 3.03-3.12
S  0.0000  0.5000  0.0000 [1 per cell]  6 La 2.84-2.93
I  0.5000  0.5000  0.5000 [1 per cell]  6 La 3.21-3.22

Computed properties:
Energy relative to the elements, uncorrected: -1.46 eV per atom

=====

Entry 7:
Entry from the Alexandria database: crystalline MgTlGe at its relaxed geometry (PBE).

Cell lengths 3.1866, 20.2376, 4.6130 Å; angles 90.00, 90.00, 90.00 degrees
Last column: nearest neighbours and their distance in Å.
Space group Cmcm (No. 63)
Symmetry-distinct sites (fractional):
Mg  0.0000  0.0508  0.2500 [4 per cell]  6 Ge 2.84-3.00, 2 Mg 3.09
Tl  0.0000  0.3068  0.7500 [4 per cell]  2 Tl 3.19, 2 Mg 3.29, 2 Ge 3.33
Ge  0.0000  0.4253  0.2500 [4 per cell]  6 Mg 2.84-3.00

Computed properties:
Offset from the most stable computed form: 30 meV per atom
Formation energy from the elements: 16 meV/atom

=====

Entry 8:
Entry from the Alexandria database: crystalline AlSiNF2 at its relaxed geometry (PBE).

Cell lengths 4.3269, 4.3269, 3.2499 Å; angles 90.00, 90.00, 90.00 degrees
Last column: nearest neighbours and their distance in Å.
Space group P4/mmm (No. 123)
Symmetry-distinct sites (fractional):
Al  0.0000  0.0000  0.0000 [1 per cell]  8 F 2.71
Si  0.5000  0.5000  0.5000 [1 per cell]  2 N 1.62
N  0.5000  0.5000  0.0000 [1 per cell]  2 Si 1.62
F  0.0000  0.5000  0.5000 [2 per cell]  2 Si 2.16

Computed properties:
Offset from the most stable computed form: 217 meV per atom
Energy relative to the elements, uncorrected: -0.99 eV per atom

=====

Entry 9:
Entry from the Alexandria database: crystalline ErAl3Rh4 at its relaxed geometry (PBE).

Cell lengths 4.3678, 4.3678, 21.8942 Å; angles 90.00, 90.00, 120.00 degrees
Last column: nearest neighbours and their distance in Å.
Space group R-3m (No. 166, hexagonal axes)
Symmetry-distinct sites (fractional):
Er  0.0000  0.0000  0.0000 [3 per cell]  8 Rh 2.76-2.83
Al  0.0000  0.0000  0.2459 [6 per cell]  7 Rh 2.55-2.68
Al  0.0000  0.0000  0.5000 [3 per cell]  8 Rh 2.53-2.65
Rh  0.0000  0.0000  0.1293 [6 per cell]  7 Al 2.55-2.68, 1 Er 2.83
Rh  0.0000  0.0000  0.3847 [6 per cell]  4 Al 2.53-2.64, 3 Er 2.76

Computed properties:
Formation energy from the elements: -1012 meV/atom

=====

Entry 10:
Entry from the Alexandria database: crystalline NaLuTiO4 at its relaxed geometry (PBE).

Cell lengths 12.2011, 5.4279, 5.2783 Å; angles 90.00, 90.00, 90.00 degrees
Last column: nearest neighbours and their distance in Å.
Space group Pbcm (No. 57)
Symmetry-distinct sites (fractional):
Na  0.0874  0.0046  0.2500 [4 per cell]  2 O 2.31-2.44
Lu  0.3953  0.0295  0.2500 [4 per cell]  4 O 2.10-2.32
Ti  0.2434  0.5103  0.2500 [4 per cell]  3 O 1.76-1.94
O  0.1006  0.5563  0.2500 [4 per cell]  1 Ti 1.76
O  0.2594  0.2500  0.0000 [4 per cell]  2 Ti 1.94
O  0.2999  0.7500  0.0000 [4 per cell]  2 Ti 1.98
O  0.4404  0.0862  0.7500 [4 per cell]  2 Lu 2.10-2.16

Computed properties:
Energy relative to the elements, uncorrected: -3.00 eV per atom

=====

Entry 11:
Entry from the Alexandria database: crystalline Ac2CuTcO8 at its relaxed geometry (PBE).

Cell lengths 4.5231, 5.4144, 7.0894 Å; angles 83.60, 87.05, 82.21 degrees
Last column: nearest neighbours and their distance in Å.
Space group P-1 (No. 2)
Symmetry-distinct sites (fractional):
Ac  0.2035  0.0251  0.2427 [2 per cell]  7 O 2.50-2.70
Cu  0.5000  0.5000  0.0000 [1 per cell]  4 O 1.86-1.88
Tc  0.5000  0.5000  0.5000 [1 per cell]  6 O 1.84-2.04
O  0.1852  0.7362  0.5592 [2 per cell]  1 Tc 1.84
O  0.3029  0.8216  0.9389 [2 per cell]  1 Cu 1.86
O  0.3054  0.2364  0.6121 [2 per cell]  1 Tc 1.86
O  0.3158  0.4930  0.2446 [2 per cell]  1 Cu 1.88, 1 Tc 2.04

Computed properties:
Energy relative to the elements, uncorrected: -1.99 eV per atom

=====

Entry 12:
Entry from the Alexandria database: crystalline SrVI2N at its relaxed geometry (PBE).

Cell lengths 5.8040, 5.8040, 3.8145 Å; angles 90.00, 90.00, 90.00 degrees
Last column: nearest neighbours and their distance in Å.
Space group P4/mmm (No. 123)
Symmetry-distinct sites (fractional):
Sr  0.0000  0.0000  0.0000 [1 per cell]  8 I 3.47, 2 Sr 3.81
V  0.5000  0.5000  0.5000 [1 per cell]  2 N 1.91
I  0.0000  0.5000  0.5000 [2 per cell]  2 V 2.90
N  0.5000  0.5000  0.0000 [1 per cell]  2 V 1.91

Computed properties:
Offset from the most stable computed form: 0 meV per atom
Energy relative to the elements, uncorrected: -0.55 eV per atom

=====

Entry 13:
Entry from the Alexandria database: crystalline Sm2NiGePt6 at its relaxed geometry (PBE).

Cell lengths 11.8426, 5.4410, 8.4224 Å; angles 90.00, 133.82, 90.00 degrees
Last column: nearest neighbours and their distance in Å.
Space group C2/m (No. 12)
Symmetry-distinct sites (fractional):
Sm  0.2359  0.0000  0.2068 [4 per cell]  7 Pt 3.04-3.18, 2 Ni 3.39
Ni  0.0000  0.5000  0.0000 [2 per cell]  6 Pt 2.50-2.52
Ge  0.0000  0.0000  0.5000 [2 per cell]  6 Pt 2.48-2.50
Pt  0.0151  0.2541  0.7618 [8 per cell]  1 Ge 2.50, 1 Ni 2.52, 3 Pt 2.68-2.76
Pt  0.2475  0.5000  0.3997 [4 per cell]  1 Ge 2.48, 1 Ni 2.50, 2 Pt 2.73

Computed properties:
Formation energy from the elements: -718 meV/atom

=====

Entry 14:
Entry from the Alexandria database: crystalline TmThSc2Tl4 at its relaxed geometry (PBE).

Cell lengths 5.2551, 5.2551, 26.1239 Å; angles 90.00, 90.00, 120.00 degrees
Last column: nearest neighbours and their distance in Å.
Space group R-3m (No. 166, hexagonal axes)
Symmetry-distinct sites (fractional):
Tm  0.0000  0.0000  0.0000 [3 per cell]  8 Tl 3.15-3.20
Th  0.0000  0.0000  0.5000 [3 per cell]  8 Tl 3.27-3.35
Sc  0.0000  0.0000  0.2495 [6 per cell]  8 Tl 3.18-3.37
Tl  0.0000  0.0000  0.1205 [6 per cell]  1 Tm 3.15, 4 Sc 3.18-3.37, 3 Th 3.27
Tl  0.0000  0.0000  0.3718 [6 per cell]  4 Sc 3.20-3.26, 3 Tm 3.20, 1 Th 3.35

Computed properties:
Formation energy from the elements: -202 meV/atom

=====

Entry 15:
Entry from the Alexandria database: crystalline HgPdPb at its relaxed geometry (PBE).

Cell lengths 6.6521, 6.6521, 6.6521 Å; angles 90.00, 90.00, 90.00 degrees
Last column: nearest neighbours and their distance in Å.
Space group F-43m (No. 216)
Symmetry-distinct sites (fractional):
Hg  0.0000  0.0000  0.0000 [4 per cell]  4 Pd 2.88
Pd  0.2500  0.2500  0.2500 [4 per cell]  4 Hg 2.88, 4 Pb 2.88
Pb  0.0000  0.0000  0.5000 [4 per cell]  4 Pd 2.88

Computed properties:
Offset from the most stable computed form: 18 meV per atom
Formation energy from the elements: -134 meV/atom

=====

Entry 16:
Entry from the Alexandria database: crystalline Rb4Np3O10 at its relaxed geometry (PBE).

Cell lengths 4.3356, 4.3356, 31.5594 Å; angles 90.00, 90.00, 90.00 degrees
Last column: nearest neighbours and their distance in Å.
Space group I4/mmm (No. 139)
Symmetry-distinct sites (fractional):
Rb  0.0000  0.0000  0.0692 [4 per cell]  12 O 3.04-3.08
Rb  0.0000  0.0000  0.2067 [4 per cell]  9 O 2.98-3.09
Np  0.0000  0.0000  0.3631 [4 per cell]  6 O 1.95-2.17
Np  0.0000  0.0000  0.5000 [2 per cell]  6 O 2.17-2.23
O  0.0000  0.0000  0.3012 [4 per cell]  1 Np 1.95
O  0.0000  0.0000  0.4294 [4 per cell]  2 Np 2.09-2.23
O  0.0000  0.5000  0.0000 [4 per cell]  2 Np 2.17
O  0.0000  0.5000  0.1369 [8 per cell]  2 Np 2.17

Computed properties:
Energy relative to the elements, uncorrected: -2.57 eV per atom

=====

Entry 17:
Entry from the Alexandria database: crystalline TiCoHg2 at its relaxed geometry (PBE).

Cell lengths 7.4739, 7.4739, 5.4313 Å; angles 90.00, 90.00, 90.00 degrees
Last column: nearest neighbours and their distance in Å.
Space group I-42d (No. 122)
Symmetry-distinct sites (fractional):
Ti  0.0000  0.0000  0.0000 [4 per cell]  2 Co 2.72, 4 Hg 2.89
Co  0.0000  0.0000  0.5000 [4 per cell]  4 Hg 2.58, 2 Ti 2.72
Hg  0.2196  0.2500  0.6250 [8 per cell]  2 Co 2.58, 2 Hg 2.75

Computed properties:
Offset from the most stable computed form: 355 meV per atom
Formation energy from the elements: 574 meV/atom

=====

Entry 18:
Entry from the Alexandria database: crystalline Pm3Ho5S12 at its relaxed geometry (PBE).

Cell lengths 16.1689, 16.1689, 16.1689 Å; angles 90.00, 90.00, 90.00 degrees
Last column: nearest neighbours and their distance in Å.
Space group Ia-3d (No. 230)
Symmetry-distinct sites (fractional):
Pm  0.0000  0.2500  0.1250 [24 per cell]  8 S 2.99-3.06
Ho  0.0000  0.0000  0.0000 [16 per cell]  6 S 2.72
Ho  0.0000  0.2500  0.3750 [24 per cell]  4 S 2.54
S  0.0222  0.0683  0.6524 [96 per cell]  2 Ho 2.54-2.72

Computed properties:
Energy relative to the elements, uncorrected: -1.91 eV per atom

=====

Entry 19:
Entry from the Alexandria database: crystalline CaBeCu3 at its relaxed geometry (PBE).

Cell lengths 4.9653, 4.9653, 4.9653 Å; angles 90.00, 90.00, 90.00 degrees
Last column: nearest neighbours and their distance in Å.
Space group Pm-3m (No. 221)
Symmetry-distinct sites (fractional):
Ca  0.0000  0.0000  0.0000 [1 per cell]  6 Cu 2.48
Be  0.5000  0.5000  0.5000 [1 per cell]  12 Cu 3.51
Cu  0.0000  0.0000  0.5000 [3 per cell]  2 Ca 2.48

Computed properties:
Offset from the most stable computed form: 1608 meV per atom
Formation energy from the elements: 1666 meV/atom

=====

Entry 20:
Entry from the Alexandria database: crystalline InHPt3 at its relaxed geometry (PBE).

Cell lengths 4.1068, 4.1068, 4.1068 Å; angles 90.00, 90.00, 90.00 degrees
Last column: nearest neighbours and their distance in Å.
Space group Pm-3m (No. 221)
Symmetry-distinct sites (fractional):
In  0.0000  0.0000  0.0000 [1 per cell]  12 Pt 2.90
H  0.5000  0.5000  0.5000 [1 per cell]  6 Pt 2.05
Pt  0.0000  0.5000  0.5000 [3 per cell]  2 H 2.05

Computed properties:
Offset from the most stable computed form: 0 meV per atom